This record from Alexandria describes Re2HgAs after structural relaxation. The functional is GGA-PBEsol.

Geometry as CIF:
```
data_Re2HgAs
_chemical_formula_sum 'Re2 Hg1 As1'
_cell_length_a 2.939
_cell_length_b 4.641
_cell_length_c 4.791
_cell_angle_alpha 90.00
_cell_angle_beta 90.00
_cell_angle_gamma 90.00
_symmetry_space_group_name_H-M 'P m m m'
_symmetry_Int_Tables_number 47
_symmetry_space_group_name_Hall '-P 2 2'
loop_
_atom_site_label
_atom_site_fract_x
_atom_site_fract_y
_atom_site_fract_z
Re1 0.000 0.000 0.000
Re2 0.500 0.000 0.500
Hg1 0.000 0.500 0.500
As1 0.500 0.500 0.000
```

Properties
The excess energy over the best structure of this formula in the dataset is 379 meV per atom. The density is 16.46 g/cm³.